Entry 1:
CdTcPb2: optimized geometry, GGA-PBE.

```
data_CdTcPb2
_chemical_formula_sum 'Cd4 Tc4 Pb8'
_symmetry_space_group_name_H-M 'I -4 2 d'
_symmetry_Int_Tables_number 122
_symmetry_space_group_name_Hall 'I -4 2bw'
_cell_length_a 9.8842
_cell_length_b 9.8842
_cell_length_c 5.5566
_cell_angle_alpha 90.00
_cell_angle_beta 90.00
_cell_angle_gamma 90.00
loop_
_atom_site_label
_atom_site_type_symbol
_atom_site_fract_x
_atom_site_fract_y
_atom_site_fract_z
Cd1 Cd 0.0000 0.0000 0.0000
Tc1 Tc 0.0000 0.0000 0.5000
Pb1 Pb 0.0263 0.2500 0.6250
```

Results
For the calculated density, the calculation gives 7.64 Mg/m³. The value obtained for the formation energy is 514 meV/atom. The value obtained for the calculated total energy is -16.6 eV per formula unit.

***

Entry 2:
TlFe2Ir: optimized geometry, GGA-PBE.

```
data_TlFe2Ir
_chemical_formula_sum 'Tl2 Fe4 Ir2'
_symmetry_space_group_name_H-M 'C m m m'
_symmetry_Int_Tables_number 65
_symmetry_space_group_name_Hall '-C 2 2'
_cell_length_a 5.5157
_cell_length_b 7.7392
_cell_length_c 2.8874
_cell_angle_alpha 90.00
_cell_angle_beta 90.00
_cell_angle_gamma 90.00
loop_
_atom_site_label
_atom_site_type_symbol
_atom_site_fract_x
_atom_site_fract_y
_atom_site_fract_z
Tl1 Tl 0.0000 0.0000 0.0000
Fe1 Fe 0.2500 0.2500 0.5000
Ir1 Ir 0.0000 0.5000 0.0000
```

Results
For the calculated density, the calculation gives 13.70 Mg/m³. The value obtained for the formation energy is 431 meV/atom. The value obtained for the calculated total energy is -26.4 eV per formula unit.

***

Entry 3:
RbUAs2: optimized geometry, GGA-PBE.

```
data_RbUAs2
_chemical_formula_sum 'Rb1 U1 As2'
_symmetry_space_group_name_H-M 'P 4/m m m'
_symmetry_Int_Tables_number 123
_symmetry_space_group_name_Hall '-P 4 2'
_cell_length_a 3.7774
_cell_length_b 3.7774
_cell_length_c 7.8355
_cell_angle_alpha 90.00
_cell_angle_beta 90.00
_cell_angle_gamma 90.00
loop_
_atom_site_label
_atom_site_type_symbol
_atom_site_fract_x
_atom_site_fract_y
_atom_site_fract_z
Rb1 Rb 0.0000 0.0000 0.0000
U1 U 0.0000 0.0000 0.5000
As1 As 0.5000 0.5000 0.3270
```

Results
For the calculated density, the calculation gives 7.03 Mg/m³. The value obtained for the formation energy is -447 meV/atom. The value obtained for the calculated total energy is -23.3 eV per formula unit.

***

Entry 4:
Nd4Dy5Th: optimized geometry, GGA-PBE.

```
data_Nd4Dy5Th
_chemical_formula_sum 'Nd8 Dy10 Th2'
_symmetry_space_group_name_H-M 'C 1 2/m 1'
_symmetry_Int_Tables_number 12
_cell_length_a 25.7156
_cell_length_b 3.6208
_cell_length_c 7.1679
_cell_angle_alpha 90.00
_cell_angle_beta 97.85
_cell_angle_gamma 90.00
loop_
_symmetry_equiv_pos_as_xyz
'x,y,z'
'-x,-y,-z'
'-x,y,-z'
'x,-y,z'
'x+1/2,y+1/2,z'
'-x+1/2,-y+1/2,-z'
'-x+1/2,y+1/2,-z'
'x+1/2,-y+1/2,z'
loop_
_atom_site_label
_atom_site_type_symbol
_atom_site_fract_x
_atom_site_fract_y
_atom_site_fract_z
Nd1 Nd 0.0974 0.0000 0.2983
Nd2 Nd 0.2004 0.5000 0.1014
Dy1 Dy 0.0000 0.5000 0.5000
Dy2 Dy 0.0970 0.0000 0.8027
Dy3 Dy 0.2002 0.5000 0.6011
Th1 Th 0.0000 0.5000 0.0000
```

Results
For the calculated density, the calculation gives 8.15 Mg/m³. The value obtained for the formation energy is 23 meV/atom. The value obtained for the calculated total energy is -49.3 eV per formula unit.

***

Entry 5:
Be5Fe: optimized geometry, GGA-PBE.

```
data_Be5Fe
_chemical_formula_sum 'Be5 Fe1'
_symmetry_space_group_name_H-M 'P 4/m m m'
_symmetry_Int_Tables_number 123
_symmetry_space_group_name_Hall '-P 4 2'
_cell_length_a 2.5800
_cell_length_b 2.5800
_cell_length_c 7.4944
_cell_angle_alpha 90.00
_cell_angle_beta 90.00
_cell_angle_gamma 90.00
loop_
_atom_site_label
_atom_site_type_symbol
_atom_site_fract_x
_atom_site_fract_y
_atom_site_fract_z
Be1 Be 0.0000 0.0000 0.0000
Be2 Be 0.0000 0.0000 0.3252
Be3 Be 0.5000 0.5000 0.1642
Fe1 Fe 0.5000 0.5000 0.5000
```

Results
For the calculated density, the calculation gives 3.36 Mg/m³. The value obtained for the formation energy is -32 meV/atom. The value obtained for the calculated total energy is -27.3 eV per formula unit.

***

Entry 6:
LaZr2Ni2: optimized geometry, GGA-PBE.

```
data_LaZr2Ni2
_chemical_formula_sum 'La2 Zr4 Ni4'
_symmetry_space_group_name_H-M 'P 4/m b m'
_symmetry_Int_Tables_number 127
_symmetry_space_group_name_Hall '-P 4 2ab'
_cell_length_a 7.6896
_cell_length_b 7.6896
_cell_length_c 3.3939
_cell_angle_alpha 90.00
_cell_angle_beta 90.00
_cell_angle_gamma 90.00
loop_
_atom_site_label
_atom_site_type_symbol
_atom_site_fract_x
_atom_site_fract_y
_atom_site_fract_z
La1 La 0.0000 0.0000 0.0000
Zr1 Zr 0.1556 0.3444 0.5000
Ni1 Ni 0.1167 0.6167 0.0000
```

Results
For the calculated density, the calculation gives 7.26 Mg/m³. The value obtained for the formation energy is -162 meV/atom. The value obtained for the calculated total energy is -34.4 eV per formula unit.

***

Number 1: DOS at the Fermi energy 0.872 states/eV per atom. Number 2: DOS at the Fermi energy 0.992 states/eV per atom. Number 3: DOS at the Fermi energy 1.046 states/eV per atom. Number 4: DOS at the Fermi energy 1.317 states/eV per atom. Number 5: DOS at the Fermi energy 0.415 states/eV per atom. Number 6: DOS at the Fermi energy 0.797 states/eV per atom.